(1)
DFT (PBE) results for a geometry-optimized Pm5Hg2OsRh2 structure.

Results
Calculated formation energy, eV/atom: -0.39
SG: No. 127
Electronic total energy, eV/atom: -5.42
Crystal system: tetragonal
Calculated volume, A^3/atom: 25.3
Total magnetization, μB/f.u.: 0.00

The structure in extended XYZ format:
```
20
Lattice="3.621 0.000 0.000 0.000 11.817 0.000 0.000 0.000 11.817" Properties=species:S:1:pos:R:3 pbc="T T T"
Pm 1.810 2.267 0.878
Pm 1.810 9.550 10.939
Pm 1.810 0.878 9.550
Pm 1.810 8.175 5.030
Pm 1.810 10.939 2.267
Pm 1.810 3.641 6.787
Pm 1.810 6.787 8.175
Pm 1.810 5.030 3.641
Pm 1.810 5.908 0.000
Pm 1.810 0.000 5.908
Hg 0.000 8.005 2.097
Hg 0.000 3.812 9.720
Hg 0.000 2.097 3.812
Hg 0.000 9.720 8.005
Os 0.000 0.000 0.000
Os 0.000 5.908 5.908
Rh 0.000 1.570 7.478
Rh 0.000 10.247 4.338
Rh 0.000 7.478 10.247
Rh 0.000 4.338 1.570
```

(2)
DFT (PBE) results for a geometry-optimized PmScHgOs structure.

Results
Calculated formation energy, eV/atom: -0.18
SG: No. 216
Electronic total energy, eV/atom: -5.83
Crystal system: cubic
Calculated volume, A^3/atom: 21.6
Total magnetization, μB/f.u.: 0.00

The structure in extended XYZ format:
```
4
Lattice="-3.635 -1.874 2.807 -3.765 -2.437 -2.119 -0.412 -4.910 0.572" Properties=species:S:1:pos:R:3 pbc="T T T"
Sc 0.000 0.000 0.000
Os -5.858 -6.915 0.945
Hg -1.953 -2.305 0.315
Pm -3.906 -4.610 0.630
```